1.
DFT (SCAN) results for a crystal of GaBPbO4 relaxed with PBEsol.

Results
- SG = Pnma, No. 62
- raw total energy (eV for the cell shown) = -555.9
- total magnetic moment (μB per atom) = 0.000
- DOS(E_F) (states/eV/f.u.) = 0.00
- formation energy from raw total energies (eV/atom) = -2.069

Geometry as CIF:
```
data_GaBPbO4
_space_group_name_H-M_alt 'P 1'
_space_group_IT_number 1
_cell_length_a 6.9618
_cell_length_b 5.9155
_cell_length_c 8.2996
_cell_angle_alpha 90.00
_cell_angle_beta 90.00
_cell_angle_gamma 90.00
loop_
_space_group_symop_operation_xyz
'x,y,z'
loop_
_atom_site_label
_atom_site_type_symbol
_atom_site_fract_x
_atom_site_fract_y
_atom_site_fract_z
Ga1 Ga 0.0000 0.0000 0.0000
Ga2 Ga 0.0000 0.5000 0.0000
Ga3 Ga 0.5000 0.0000 0.5000
Ga4 Ga 0.5000 0.5000 0.5000
B1 B 0.2218 0.2500 0.2647
B2 B 0.2782 0.7500 0.7647
B3 B 0.7218 0.2500 0.2353
B4 B 0.7782 0.7500 0.7353
Pb1 Pb 0.0577 0.7500 0.3585
Pb2 Pb 0.4423 0.2500 0.8585
Pb3 Pb 0.5577 0.7500 0.1415
Pb4 Pb 0.9423 0.2500 0.6415
O1 O 0.1042 0.2500 0.8866
O2 O 0.1712 0.0466 0.1934
O3 O 0.1712 0.4534 0.1934
O4 O 0.1799 0.7500 0.9097
O5 O 0.3201 0.2500 0.4097
O6 O 0.3288 0.5466 0.6934
O7 O 0.3288 0.9534 0.6934
O8 O 0.3958 0.7500 0.3866
O9 O 0.6042 0.2500 0.6134
O10 O 0.6712 0.0466 0.3066
O11 O 0.6712 0.4534 0.3066
O12 O 0.6799 0.7500 0.5903
O13 O 0.8201 0.2500 0.0903
O14 O 0.8288 0.5466 0.8066
O15 O 0.8288 0.9534 0.8066
O16 O 0.8958 0.7500 0.1134
```

=====

2.
DFT (SCAN) results for a crystal of SmGa3B4O12 relaxed with PBEsol.

Results
- SG = R32, No. 155
- raw total energy (eV for the cell shown) = -250.2
- total magnetic moment (μB per atom) = 0.000
- DOS(E_F) (states/eV/f.u.) = 0.00
- formation energy from raw total energies (eV/atom) = -2.610

Geometry as CIF:
```
data_SmGa3B4O12
_space_group_name_H-M_alt 'P 1'
_space_group_IT_number 1
_cell_length_a 6.0251
_cell_length_b 6.0251
_cell_length_c 6.0251
_cell_angle_alpha 104.17
_cell_angle_beta 104.17
_cell_angle_gamma 104.17
loop_
_space_group_symop_operation_xyz
'x,y,z'
loop_
_atom_site_label
_atom_site_type_symbol
_atom_site_fract_x
_atom_site_fract_y
_atom_site_fract_z
Sm1 Sm 0.0000 0.0000 0.0000
Ga1 Ga 0.0000 0.5510 0.4490
Ga2 Ga 0.4490 0.0000 0.5510
Ga3 Ga 0.5510 0.4490 0.0000
B1 B 0.0540 0.5000 0.9460
B2 B 0.5000 0.5000 0.5000
B3 B 0.5000 0.9460 0.0540
B4 B 0.9460 0.0540 0.5000
O1 O 0.0280 0.6287 0.7874
O2 O 0.0916 0.9084 0.5000
O3 O 0.2126 0.3713 0.9720
O4 O 0.3543 0.6457 0.5000
O5 O 0.3713 0.9720 0.2126
O6 O 0.5000 0.0916 0.9084
O7 O 0.5000 0.3543 0.6457
O8 O 0.6287 0.7874 0.0280
O9 O 0.6457 0.5000 0.3543
O10 O 0.7874 0.0280 0.6287
O11 O 0.9084 0.5000 0.0916
O12 O 0.9720 0.2126 0.3713
```

=====

3.
DFT (SCAN) results for a crystal of SrGaBO4 relaxed with PBEsol.

Results
- SG = P2_12_12, No. 18
- raw total energy (eV for the cell shown) = -719.2
- total magnetic moment (μB per atom) = 0.000
- DOS(E_F) (states/eV/f.u.) = 0.00
- formation energy from raw total energies (eV/atom) = -2.703

Geometry as CIF:
```
data_SrGaBO4
_space_group_name_H-M_alt 'P 1'
_space_group_IT_number 1
_cell_length_a 9.0161
_cell_length_b 15.4097
_cell_length_c 5.9132
_cell_angle_alpha 90.00
_cell_angle_beta 90.00
_cell_angle_gamma 90.00
loop_
_space_group_symop_operation_xyz
'x,y,z'
loop_
_atom_site_label
_atom_site_type_symbol
_atom_site_fract_x
_atom_site_fract_y
_atom_site_fract_z
Sr1 Sr 0.0726 0.1209 0.4977
Sr2 Sr 0.2136 0.9796 0.0025
Sr3 Sr 0.2864 0.4796 0.9975
Sr4 Sr 0.4274 0.6209 0.5023
Sr5 Sr 0.5726 0.3791 0.5023
Sr6 Sr 0.7136 0.5204 0.9975
Sr7 Sr 0.7864 0.0204 0.0025
Sr8 Sr 0.9274 0.8791 0.4977
Ga1 Ga 0.0379 0.6528 0.2499
Ga2 Ga 0.0385 0.6544 0.7483
Ga3 Ga 0.4615 0.1544 0.2517
Ga4 Ga 0.4621 0.1528 0.7501
Ga5 Ga 0.5379 0.8472 0.7501
Ga6 Ga 0.5385 0.8456 0.2517
Ga7 Ga 0.9615 0.3456 0.7483
Ga8 Ga 0.9621 0.3472 0.2499
B1 B 0.0181 0.1869 0.0010
B2 B 0.2070 0.4251 0.5001
B3 B 0.2930 0.9251 0.4999
B4 B 0.4819 0.6869 0.9990
B5 B 0.5181 0.3131 0.9990
B6 B 0.7070 0.0749 0.4999
B7 B 0.7930 0.5749 0.5001
B8 B 0.9819 0.8131 0.0010
O1 O 0.0091 0.2293 0.7942
O2 O 0.0129 0.2313 0.2051
O3 O 0.0291 0.0982 0.0043
O4 O 0.1243 0.6077 0.9984
O5 O 0.1413 0.4049 0.2945
O6 O 0.1420 0.4021 0.7042
O7 O 0.1559 0.6451 0.4990
O8 O 0.1596 0.9678 0.4980
O9 O 0.3404 0.4678 0.5020
O10 O 0.3441 0.1451 0.5010
O11 O 0.3580 0.9021 0.2958
O12 O 0.3587 0.9049 0.7055
O13 O 0.3757 0.1077 0.0016
O14 O 0.4709 0.5982 0.9957
O15 O 0.4871 0.7313 0.7949
O16 O 0.4909 0.7293 0.2058
O17 O 0.5091 0.2707 0.2058
O18 O 0.5129 0.2687 0.7949
O19 O 0.5291 0.4018 0.9957
O20 O 0.6243 0.8923 0.0016
O21 O 0.6413 0.0951 0.7055
O22 O 0.6420 0.0979 0.2958
O23 O 0.6559 0.8549 0.5010
O24 O 0.6596 0.5322 0.5020
O25 O 0.8404 0.0322 0.4980
O26 O 0.8441 0.3549 0.4990
O27 O 0.8580 0.5979 0.7042
O28 O 0.8587 0.5951 0.2945
O29 O 0.8757 0.3923 0.9984
O30 O 0.9709 0.9018 0.0043
O31 O 0.9871 0.7687 0.2051
O32 O 0.9909 0.7707 0.7942
```

=====

4.
DFT (SCAN) results for a crystal of SrGaBO4 relaxed with PBEsol.

Results
- SG = Pccn, No. 56
- raw total energy (eV for the cell shown) = -719.5
- total magnetic moment (μB per atom) = 0.000
- DOS(E_F) (states/eV/f.u.) = 0.00
- formation energy from raw total energies (eV/atom) = -2.709

Geometry as CIF:
```
data_SrGaBO4
_space_group_name_H-M_alt 'P 1'
_space_group_IT_number 1
_cell_length_a 8.9126
_cell_length_b 15.2984
_cell_length_c 5.8042
_cell_angle_alpha 90.00
_cell_angle_beta 90.00
_cell_angle_gamma 90.00
loop_
_space_group_symop_operation_xyz
'x,y,z'
loop_
_atom_site_label
_atom_site_type_symbol
_atom_site_fract_x
_atom_site_fract_y
_atom_site_fract_z
Sr1 Sr 0.1174 0.1491 0.1124
Sr2 Sr 0.1174 0.3509 0.6124
Sr3 Sr 0.3826 0.1491 0.6124
Sr4 Sr 0.3826 0.3509 0.1124
Sr5 Sr 0.6174 0.6491 0.8876
Sr6 Sr 0.6174 0.8509 0.3876
Sr7 Sr 0.8826 0.6491 0.3876
Sr8 Sr 0.8826 0.8509 0.8876
Ga1 Ga 0.2379 0.5502 0.1275
Ga2 Ga 0.2379 0.9498 0.6275
Ga3 Ga 0.2621 0.5502 0.6275
Ga4 Ga 0.2621 0.9498 0.1275
Ga5 Ga 0.7379 0.0502 0.8725
Ga6 Ga 0.7379 0.4498 0.3725
Ga7 Ga 0.7621 0.0502 0.3725
Ga8 Ga 0.7621 0.4498 0.8725
B1 B 0.0187 0.6435 0.8651
B2 B 0.0187 0.8565 0.3651
B3 B 0.4813 0.6435 0.3651
B4 B 0.4813 0.8565 0.8651
B5 B 0.5187 0.1435 0.1349
B6 B 0.5187 0.3565 0.6349
B7 B 0.9813 0.1435 0.6349
B8 B 0.9813 0.3565 0.1349
O1 O 0.0695 0.6175 0.0815
O2 O 0.0695 0.8825 0.5815
O3 O 0.0969 0.6232 0.6647
O4 O 0.0969 0.8768 0.1647
O5 O 0.1120 0.1900 0.6517
O6 O 0.1120 0.3100 0.1517
O7 O 0.2265 0.0215 0.8796
O8 O 0.2265 0.4785 0.3796
O9 O 0.2735 0.0215 0.3796
O10 O 0.2735 0.4785 0.8796
O11 O 0.3880 0.1900 0.1517
O12 O 0.3880 0.3100 0.6517
O13 O 0.4031 0.6232 0.1647
O14 O 0.4031 0.8768 0.6647
O15 O 0.4305 0.6175 0.5815
O16 O 0.4305 0.8825 0.0815
O17 O 0.5695 0.1175 0.9185
O18 O 0.5695 0.3825 0.4185
O19 O 0.5969 0.1232 0.3353
O20 O 0.5969 0.3768 0.8353
O21 O 0.6120 0.6900 0.3483
O22 O 0.6120 0.8100 0.8483
O23 O 0.7265 0.5215 0.1204
O24 O 0.7265 0.9785 0.6204
O25 O 0.7735 0.5215 0.6204
O26 O 0.7735 0.9785 0.1204
O27 O 0.8880 0.6900 0.8483
O28 O 0.8880 0.8100 0.3483
O29 O 0.9031 0.1232 0.8353
O30 O 0.9031 0.3768 0.3353
O31 O 0.9305 0.1175 0.4185
O32 O 0.9305 0.3825 0.9185
```